# 1
Density functional theory data (GGA-PBE) for a geometry-optimized La2Tb6Pm3Nd structure.

The structure belongs to space group C2/m (No. 12); the cell edges are 6.2969, 10.9097 and 11.9270 Å and the angles 90.00°, 100.12° and 90.00°. Symmetry generates all atoms from La at (0.0000, 0.1665, 0.0000), Tb at (0.2484, 0.5000, 0.7478), Tb at (0.2493, 0.1664, 0.7479), Pm at (0.0000, 0.0000, 0.5000), Pm at (0.0000, 0.3334, 0.5000) and Nd at (0.0000, 0.5000, 0.0000).

The formation energy comes out at 0.013 eV per atom. The magnetic moment is 0.0 μB per formula unit. The calculation puts the density of states at the Fermi level at 30.43 states/eV/cell. As for the crystal system: monoclinic.



# 2
Density functional theory data (GGA-PBE) for a geometry-optimized CaAc3Sm3Se8 structure.

The structure belongs to space group R-3m (No. 166, hexagonal axes); the cell edges are 8.5205, 8.5205 and 21.4678 Å and the angles 90.00°, 90.00° and 120.00°. Symmetry generates all atoms from Ca at (0.0000, 0.0000, 0.0000), Ac at (0.0000, 0.5000, 0.5000), Sm at (0.0000, 0.5000, 0.0000), Se at (0.0000, 0.0000, 0.2565) and Se at (0.0024, 0.5012, 0.2556).

The formation energy (no corrections) comes out at -28.6 eV per formula unit. The magnetic moment is 0.0 μB per formula unit. The calculation puts the density of states at the Fermi level at 9.94 states/eV/cell. As for the crystal system: trigonal.



# 3
Density functional theory data (GGA-PBE) for a geometry-optimized InRhSe2 structure.

The structure belongs to space group P4mm (No. 99); the cell edges are 3.4067, 3.4067 and 7.5469 Å and the angles 90.00°, 90.00° and 90.00°. Symmetry generates all atoms from In at (0.0000, 0.0000, 0.0000), Rh at (0.5000, 0.5000, 0.2609), Se at (0.0000, 0.0000, 0.3898) and Se at (0.5000, 0.5000, 0.8152).

The formation energy (no corrections) comes out at -0.3 eV per formula unit. The magnetic moment is 0.0 μB per formula unit. The calculation puts the density of states at the Fermi level at 0.95 states/eV/cell. As for the crystal system: tetragonal.



# 4
Density functional theory data (GGA-PBE) for a geometry-optimized Ac2PrHo structure.

The structure belongs to space group R-3m (No. 166, hexagonal axes); the cell edges are 3.7334, 3.7334 and 39.6167 Å and the angles 90.00°, 90.00° and 120.00°. Symmetry generates all atoms from Ac at (0.0000, 0.0000, 0.0873), Pr at (0.0000, 0.0000, 0.5000) and Ho at (0.0000, 0.0000, 0.0000).

The formation energy comes out at 0.243 eV per atom. The magnetic moment is 0.0 μB per formula unit. The calculation puts the density of states at the Fermi level at 20.67 states/eV/cell. The value obtained for the distance to the lowest polymorph of the same formula is 208 meV/atom. As for the crystal system: trigonal.



# 5
Density functional theory data (GGA-PBE) for a geometry-optimized CuPAu structure.

The structure belongs to space group I4mm (No. 107); the cell edges are 2.7854, 2.7854 and 11.9543 Å and the angles 90.00°, 90.00° and 90.00°. Symmetry generates all atoms from Cu at (0.0000, 0.0000, 0.0000), P at (0.0000, 0.0000, 0.6302) and Au at (0.0000, 0.0000, 0.3315).

The formation energy comes out at 0.229 eV per atom. The magnetic moment is 0.0 μB per formula unit. The calculation puts the density of states at the Fermi level at 2.44 states/eV/cell. The value obtained for the distance to the lowest polymorph of the same formula is 109 meV/atom. As for the crystal system: tetragonal.



# 6
Density functional theory data (GGA-PBE) for a geometry-optimized PmTm2Sb structure.

The structure belongs to space group P2_1/m (No. 11); the cell edges are 4.5790, 4.5649 and 11.4965 Å and the angles 90.00°, 101.50° and 90.00°. Symmetry generates all atoms from Pm at (0.1944, 0.2500, 0.3884), Tm at (0.0588, 0.7500, 0.1176), Tm at (0.4401, 0.7500, 0.8802) and Sb at (0.3371, 0.2500, 0.6751).

The formation energy (no corrections) comes out at -2.4 eV per formula unit. The magnetic moment is 0.0 μB per formula unit. The calculation puts the density of states at the Fermi level at 10.61 states/eV/cell. The value obtained for the distance to the lowest polymorph of the same formula is 0 meV/atom. As for the crystal system: monoclinic.



# 7
Density functional theory data (GGA-PBE) for a geometry-optimized KRbSr2Si structure.

The structure belongs to space group P4/mmm (No. 123); the cell edges are 6.8233, 6.8233 and 6.3272 Å and the angles 90.00°, 90.00° and 90.00°. Symmetry generates all atoms from K at (0.0000, 0.0000, 0.0000), Rb at (0.0000, 0.0000, 0.5000), Sr at (0.0000, 0.5000, 0.0000) and Si at (0.5000, 0.5000, 0.5000).

The formation energy (no corrections) comes out at 5.4 eV per formula unit. The magnetic moment is 0.2 μB per formula unit. The calculation puts the density of states at the Fermi level at 3.83 states/eV/cell. As for the crystal system: tetragonal.



# 8
Density functional theory data (GGA-PBE) for a geometry-optimized HfRe3Se structure.

The structure belongs to space group Pm-3m (No. 221); the cell edges are 4.5310, 4.5310 and 4.5310 Å and the angles 90.00°, 90.00° and 90.00°. Symmetry generates all atoms from Hf at (0.0000, 0.0000, 0.0000), Re at (0.0000, 0.5000, 0.5000) and Se at (0.5000, 0.5000, 0.5000).

The formation energy (no corrections) comes out at 5.7 eV per formula unit. The magnetic moment is 0.0 μB per formula unit. The calculation puts the density of states at the Fermi level at 3.95 states/eV/cell. The value obtained for the distance to the lowest polymorph of the same formula is 0 meV/atom. As for the crystal system: cubic.



Final energy values, unit eV for the cell shown, following the record order: -113.0; -254.9; -17.3; -49.8; -24.2; -40.4; -5.4; -45.1.